No. 1
A plane-wave DFT calculation with PBE-GGA was carried out for an optimized crystal structure of CsLaAgSe2.

POSCAR file:
```
CsLaAgSe2
1.0
8.343 0.000 0.000
0.000 5.163 0.000
-1.178 0.000 8.631
Cs La Ag Se
2 2 2 4
Cartesian
-0.294 0.607 2.158
-0.883 4.556 6.473
3.288 2.550 6.473
3.877 2.613 2.158
4.171 0.000 0.000
3.582 0.000 4.316
1.117 1.912 8.387
1.706 3.251 4.071
5.459 1.912 4.560
6.048 3.251 0.244
```

Computed properties:
Symmetry   P2/c (13)
Density   4.80 Mg/m³
Formation energy without anion corrections   -1106 meV/atom



No. 2
A plane-wave DFT calculation with PBE-GGA was carried out for an optimized crystal structure of AcMgAl2.

POSCAR file:
```
AcMgAl2
1.0
3.665 0.000 0.000
0.000 3.665 0.000
0.000 0.000 7.463
Ac Mg Al
1 1 2
Cartesian
0.000 0.000 0.000
0.000 0.000 3.731
1.832 1.832 2.289
1.832 1.832 5.174
```

Computed properties:
Formation energy   -100 meV per atom
Symmetry   P4/mmm (123)
Density   5.06 Mg/m³



Number 1: energy -4.23 eV per atom. Number 2: energy -3.40 eV per atom.